SmTm3: relaxed, GGA-PBE.

Calculated values
- formation enthalpy at 0 K (meV/atom) = 27

Cell: 4.989 4.989 6.089 Å, 114.19 114.19 90.00°
Sites, in units of the cell vectors:
Tm (0.500, 0.500, 0.000)
Tm (0.750, 0.250, 0.500)
Tm (0.250, 0.750, 0.500)
Sm (0.000, 0.000, 0.000)